1.
KTlZnPb (GGA-PBE, optimized geometry); energy relative to the elements = 0.16 eV/f.u.; crystal system = cubic; total energy = -8.29 eV per cell; volume = 118 Å³/cell; Fermi-level density of states = 0.317 states/eV/atom
1.0
-4.909 -2.418 -0.634
-2.861 -1.625 4.418
-4.595 2.675 1.442
Pb Tl K Zn
1 1 1 1
direct
0.000 0.000 0.000
0.250 0.250 0.250
0.500 0.500 0.500
0.750 0.750 0.750

***

2.
LaFeCu (GGA-PBE, optimized geometry); energy relative to the elements = 0.30 eV/f.u.; crystal system = hexagonal; total energy = -17.19 eV per cell; volume = 63 Å³/cell; Fermi-level density of states = 1.213 states/eV/atom
1.0
-3.354 -1.961 1.629
3.660 -2.052 -0.383
1.087 1.243 3.734
Cu Fe La
1 1 1
direct
0.000 0.000 0.167
0.333 0.667 0.167
0.667 0.333 0.667

***

3.
CuSi2Tc2 (GGA-PBE, optimized geometry); crystal system = tetragonal; total energy = -73.10 eV per cell; volume = 140 Å³/cell; Fermi-level density of states = 0.886 states/eV/atom; formation energy (no corrections) = -0.175 eV per atom
1.0
-5.303 -4.106 0.119
0.947 -1.411 -6.489
1.858 -2.377 0.788
Si Tc Cu
4 4 2
direct
0.147 0.647 0.500
0.647 0.853 0.500
0.853 0.353 0.500
0.353 0.147 0.500
0.351 0.851 0.000
0.851 0.649 0.000
0.649 0.149 0.000
0.149 0.351 0.000
0.000 0.000 0.000
0.500 0.500 0.000

***

4.
SmYTm5 (GGA-PBE, optimized geometry); energy relative to the elements = 1.38 eV/f.u.; crystal system = monoclinic; total energy = -64.33 eV per cell; volume = 440 Å³/cell; Fermi-level density of states = 1.228 states/eV/atom
1.0
6.083 0.101 2.745
2.267 5.646 2.745
1.069 0.736 13.597
Sm Y Tm
2 2 10
direct
0.726 0.274 0.750
0.274 0.726 0.250
0.000 0.000 0.000
0.000 0.000 0.500
0.173 0.389 0.748
0.646 0.696 0.501
0.389 0.173 0.248
0.163 0.837 0.750
0.304 0.354 0.999
0.696 0.646 0.001
0.837 0.163 0.250
0.611 0.827 0.752
0.354 0.304 0.499
0.827 0.611 0.252

***

5.
NbTlAg (GGA-PBE, optimized geometry); energy relative to the elements = 1.45 eV/f.u.; crystal system = trigonal; total energy = -13.84 eV per cell; volume = 60 Å³/cell; Fermi-level density of states = 1.105 states/eV/atom
1.0
-1.872 3.275 -2.926
0.871 -4.412 -1.602
-2.785 -0.851 0.830
Nb Tl Ag
1 1 1
direct
0.333 0.667 0.071
0.000 0.000 0.566
0.667 0.333 0.575

***

6.
Ta2NbHW (GGA-PBE, optimized geometry); crystal system = tetragonal; total energy = -50.06 eV per cell; volume = 73 Å³/cell; Fermi-level density of states = 0.683 states/eV/atom
1.0
4.583 0.000 0.000
0.000 4.583 0.000
0.000 0.000 3.494
H Nb W Ta
1 1 1 2
direct
0.000 0.000 0.000
0.500 0.500 0.500
0.000 0.000 0.500
0.000 0.500 0.000
0.500 0.000 0.000

***

7.
CuRe2Rh2 (GGA-PBE, optimized geometry); energy relative to the elements = 1.49 eV/f.u.; crystal system = tetragonal; total energy = -84.41 eV per cell; volume = 156 Å³/cell; Fermi-level density of states = 0.602 states/eV/atom
1.0
7.585 0.000 0.000
0.000 7.585 0.000
0.000 0.000 2.711
Re Rh Cu
4 4 2
direct
0.379 0.879 0.000
0.879 0.621 0.000
0.621 0.121 0.000
0.121 0.379 0.000
0.171 0.671 0.500
0.671 0.829 0.500
0.829 0.329 0.500
0.329 0.171 0.500
0.000 0.000 0.000
0.500 0.500 0.000

***

8.
LiPdPb (GGA-PBE, optimized geometry); energy relative to the elements = -0.90 eV/f.u.; crystal system = trigonal; total energy = -11.71 eV per cell; volume = 56 Å³/cell; Fermi-level density of states = 0.804 states/eV/atom
1.0
-1.719 1.229 -2.380
-2.555 -3.704 -0.067
-1.144 3.476 2.620
Pb Pd Li
1 1 1
direct
0.668 0.667 0.333
0.205 0.333 0.667
0.128 0.000 0.000